# 1
{
  "formula": "IrRh2Br",
  "functional": "PBE-GGA",
  "state": "optimized geometry",
  "lattice_angstrom": [[-1.100, -2.600, 0.205], [4.196, -1.659, 1.460], [-1.207, 0.861, 4.446]],
  "species": ["Ir", "Rh", "Rh", "Br"],
  "fractional_positions": [[0.000, 0.500, 0.500], [0.000, 0.000, 0.000], [0.500, 0.500, 0.000], [0.500, 0.000, 0.500]],
  "relative_energy_ev_per_atom": 0.412,
  "space_group": "Pmmm",
  "formation_energy_uncorrected_ev_per_atom": 0.789,
  "volume_a3_per_fu": 62.9
}

***

# 2
{
  "formula": "ZrW3Br",
  "functional": "PBE-GGA",
  "state": "optimized geometry",
  "lattice_angstrom": [[4.624, 0.000, 0.000], [0.000, 4.624, 0.000], [0.000, 0.000, 4.624]],
  "species": ["Br", "Zr", "W", "W", "W"],
  "fractional_positions": [[0.000, 0.000, 0.000], [0.500, 0.500, 0.500], [0.000, 0.500, 0.000], [0.000, 0.000, 0.500], [0.500, 0.000, 0.000]],
  "relative_energy_ev_per_atom": 0.000,
  "space_group": "Pm-3m",
  "formation_energy_uncorrected_ev_per_atom": 1.755,
  "volume_a3_per_fu": 98.8
}